# 1
Li2TaGa: relaxed, PBE-GGA.

It has space group F-43m (No. 216), with a = 6.227 Å, b = 6.227 Å, c = 6.227 Å, α = 90.00°, β = 90.00° and γ = 90.00°. Symmetry generates all atoms from Li at (0.000, 0.000, 0.000), Li at (0.250, 0.250, 0.250), Ta at (0.250, 0.250, 0.750) and Ga at (0.000, 0.000, 0.500).

The raw total energy is -4.45 eV/atom. The magnetic moment comes out at 0.000 μB per formula unit. Its crystal system is cubic.

# 2
CoMo2As: relaxed, PBE-GGA.

It has space group F-43m (No. 216), with a = 6.095 Å, b = 6.095 Å, c = 6.095 Å, α = 90.00°, β = 90.00° and γ = 90.00°. Symmetry generates all atoms from Co at (0.000, 0.000, 0.000), Mo at (0.000, 0.000, 0.500), Mo at (0.250, 0.250, 0.250) and As at (0.250, 0.250, 0.750).

The raw total energy is -8.11 eV/atom. The magnetic moment comes out at 1.849 μB per formula unit. Its crystal system is cubic.

Copy entry 2 word for word.
CoMo2As: relaxed, PBE-GGA.

It has space group F-43m (No. 216), with a = 6.095 Å, b = 6.095 Å, c = 6.095 Å, α = 90.00°, β = 90.00° and γ = 90.00°. Symmetry generates all atoms from Co at (0.000, 0.000, 0.000), Mo at (0.000, 0.000, 0.500), Mo at (0.250, 0.250, 0.250) and As at (0.250, 0.250, 0.750).

The raw total energy is -8.11 eV/atom. The magnetic moment comes out at 1.849 μB per formula unit. Its crystal system is cubic.